[1]
Below is TbIn4 after structural relaxation, with properties calculated at the PBE level.

Lattice parameters (Å, degrees): 5.892 5.892 5.892 90.00 90.00 90.00
Space group Pm-3m (No. 221)
Asymmetric unit:
Tb1 0.000 0.000 0.000 x1
In1 0.000 0.000 0.500 x3
In2 0.500 0.500 0.500 x1

Output
The size of the total moment is 0.000 μB/atom. For the density of states at the Fermi level, the calculation gives 0.87 states/eV per atom. As for the formation energy: 530 meV per atom.

[2]
Below is Li3GaCu6 after structural relaxation, with properties calculated at the PBE level.

Lattice parameters (Å, degrees): 4.079 7.189 9.522 90.00 90.16 90.00
Space group P2_1/c (No. 14)
Asymmetric unit:
Li1 0.000 0.000 0.000 x2
Li2 0.001 0.010 0.270 x4
Ga1 0.500 0.000 0.500 x2
Cu1 0.000 0.181 0.505 x4
Cu2 0.499 0.178 0.871 x4
Cu3 0.499 0.683 0.368 x4

Output
The size of the total moment is 0.000 μB/atom. For the density of states at the Fermi level, the calculation gives 0.21 states/eV per atom. As for the formation energy: 9 meV per atom.

[3]
Below is ZrBAuC2 after structural relaxation, with properties calculated at the PBE level.

Lattice parameters (Å, degrees): 3.862 3.862 5.730 90.00 90.00 90.00
Space group P4/mmm (No. 123)
Asymmetric unit:
Zr1 0.000 0.000 0.000 x1
B1 0.500 0.500 0.000 x1
Au1 0.000 0.000 0.500 x1
C1 0.000 0.500 0.500 x2

Output
The size of the total moment is 0.000 μB/atom. For the density of states at the Fermi level, the calculation gives 0.58 states/eV per atom. As for the formation energy: 2352 meV per atom.

[4]
Below is Cr2NiRh after structural relaxation, with properties calculated at the PBE level.

Lattice parameters (Å, degrees): 3.527 3.527 16.868 90.00 90.00 90.00
Space group I-42d (No. 122)
Asymmetric unit:
Cr1 0.209 0.250 0.125 x8
Ni1 0.000 0.000 0.000 x4
Rh1 0.000 0.000 0.500 x4

Output
The size of the total moment is 0.000 μB/atom. For the density of states at the Fermi level, the calculation gives 1.45 states/eV per atom. As for the formation energy: 465 meV per atom.

Look up the size of the total moment of the second one.
0.000 μB/atom

Look up the size of the total moment of the third one.
0.000 μB/atom